Record 1
Computed, not measured: an optimized crystal structure of B2IrAu at the PBE level of DFT.

Results
Space-group type   Cm (8)
Formation energy from the elements   0.2490 eV/atom
Fermi-level density of states   1.99 states/eV per cell

Unit cell a=5.767 b=3.162 c=5.384 alpha=90.00 beta=98.09 gamma=90.00
Sites, in units of the cell vectors:
B1 0.577 0.500 0.933
Au1 0.197 0.500 0.010
Ir1 0.799 0.500 0.632
Au2 0.197 0.000 0.510
B2 0.570 0.000 0.760
Ir2 0.799 0.000 0.132
B3 0.570 0.500 0.260
B4 0.577 0.000 0.433



Record 2
Computed, not measured: an optimized crystal structure of B2IrAu at the PBE level of DFT.

Results
Space-group type   Fm-3m (225)
Formation energy from the elements   0.9808 eV/atom
Fermi-level density of states   3.15 states/eV per cell

Unit cell a=4.012 b=4.012 c=4.012 alpha=60.00 beta=60.00 gamma=60.00
Sites, in units of the cell vectors:
Ir1 0.000 0.000 0.000
B1 0.750 0.750 0.750
Au1 0.500 0.500 0.500
B2 0.250 0.250 0.250



Record 3
Computed, not measured: an optimized crystal structure of B2IrAu at the PBE level of DFT.

Results
Space-group type   R3m (160)
Formation energy from the elements   0.1963 eV/atom
Fermi-level density of states   0.95 states/eV per cell

Unit cell a=6.109 b=3.068 c=5.311 alpha=90.00 beta=106.85 gamma=90.00
Sites, in units of the cell vectors:
Au1 0.776 0.500 0.032
B1 0.383 0.500 0.901
B2 0.383 0.000 0.401
Au2 0.776 0.000 0.532
B3 0.523 0.500 0.615
Ir1 0.175 0.000 0.998
Ir2 0.175 0.500 0.498
B4 0.523 0.000 0.115



Record 4
Computed, not measured: an optimized crystal structure of BIr2Au at the PBE level of DFT.

Results
Space-group type   Fm-3m (225)
Formation energy from the elements   0.9064 eV/atom
Fermi-level density of states   4.42 states/eV per cell

Unit cell a=4.285 b=4.285 c=4.285 alpha=60.00 beta=60.00 gamma=60.00
Sites, in units of the cell vectors:
Ir1 0.250 0.250 0.250
Ir2 0.750 0.750 0.750
B1 0.000 0.000 0.000
Au1 0.500 0.500 0.500



Record 5
Computed, not measured: an optimized crystal structure of B2IrAu at the PBE level of DFT.

Results
Space-group type   Pm (6)
Formation energy from the elements   0.1585 eV/atom
Fermi-level density of states   0.89 states/eV per cell

Unit cell a=2.911 b=2.944 c=5.978 alpha=90.00 beta=103.88 gamma=90.00
Sites, in units of the cell vectors:
B1 0.483 0.000 0.503
Au1 0.626 0.500 0.791
Ir1 0.839 0.000 0.210
B2 0.409 0.500 0.353



Record 6
Computed, not measured: an optimized crystal structure of B2IrAu at the PBE level of DFT.

Results
Space-group type   C2/m (12)
Formation energy from the elements   0.1503 eV/atom
Fermi-level density of states   1.93 states/eV per cell

Unit cell a=5.596 b=2.896 c=7.338 alpha=90.00 beta=114.44 gamma=90.00
Sites, in units of the cell vectors:
B1 0.411 0.000 0.757
Ir1 0.500 0.500 0.000
Au1 0.000 0.000 0.500
B2 0.411 0.500 0.257
Ir2 0.500 0.000 0.500
Au2 0.000 0.500 0.000
B3 0.589 0.500 0.743
B4 0.589 0.000 0.243



Record 7
Computed, not measured: an optimized crystal structure of B2IrAu at the PBE level of DFT.

Results
Space-group type   I-42d (122)
Formation energy from the elements   0.3364 eV/atom
Fermi-level density of states   2.63 states/eV per cell

Unit cell a=4.879 b=4.879 c=5.949 alpha=65.79 beta=65.79 gamma=90.00
Sites, in units of the cell vectors:
B1 0.375 0.407 0.750
Ir1 0.500 0.500 0.000
Ir2 0.250 0.750 0.500
Au1 0.750 0.250 0.500
B2 0.593 0.125 0.250
B3 0.157 0.625 0.250
B4 0.875 0.843 0.750
Au2 0.000 0.000 0.000



Record 8
Computed, not measured: an optimized crystal structure of B3IrAu at the PBE level of DFT.

Results
Space-group type   Pm-3m (221)
Formation energy from the elements   0.9870 eV/atom
Fermi-level density of states   2.73 states/eV per cell

Unit cell a=4.131 b=4.131 c=4.131 alpha=90.00 beta=90.00 gamma=90.00
Sites, in units of the cell vectors:
B1 0.000 0.000 0.500
B2 0.500 0.000 0.000
Au1 0.500 0.500 0.500
Ir1 0.000 0.000 0.000
B3 0.000 0.500 0.000



Record 9
Computed, not measured: an optimized crystal structure of BIr2Au at the PBE level of DFT.

Results
Space-group type   I-42d (122)
Formation energy from the elements   0.7051 eV/atom
Fermi-level density of states   3.16 states/eV per cell

Unit cell a=4.826 b=4.826 c=6.949 alpha=69.68 beta=69.68 gamma=90.00
Sites, in units of the cell vectors:
Ir1 0.375 0.497 0.750
B1 0.500 0.500 0.000
Ir2 0.875 0.753 0.750
B2 0.250 0.750 0.500
Au1 0.750 0.250 0.500
Ir3 0.247 0.625 0.250
Ir4 0.503 0.125 0.250
Au2 0.000 0.000 0.000



Record 10
Computed, not measured: an optimized crystal structure of B2IrAu at the PBE level of DFT.

Results
Space-group type   Pmm2 (25)
Formation energy from the elements   0.1553 eV/atom
Fermi-level density of states   0.87 states/eV per cell

Unit cell a=2.917 b=3.085 c=5.442 alpha=90.00 beta=90.00 gamma=90.00
Sites, in units of the cell vectors:
Au1 0.500 0.500 0.811
B1 0.500 0.500 0.338
B2 0.000 0.500 0.500
Ir1 0.000 0.000 0.208



Record 11
Computed, not measured: an optimized crystal structure of Mn2BIrAu at the PBE level of DFT.

Results
Space-group type   P4/mmm (123)
Formation energy from the elements   1.3585 eV/atom
Fermi-level density of states   3.98 states/eV per cell

Unit cell a=4.904 b=3.908 c=4.904 alpha=90.00 beta=90.00 gamma=90.00
Each line ends with the local moment (μB).
Sites, in units of the cell vectors:
Au1 0.000 0.000 0.000  0.08
Mn1 0.500 0.000 0.000  4.05
B1 0.000 0.500 0.000  -0.03
Mn2 0.000 0.000 0.500  4.10
Ir1 0.500 0.500 0.500  0.19



Record 12
Computed, not measured: an optimized crystal structure of BIrAu2N at the PBE level of DFT.

Results
Space-group type   P4/mmm (123)
ΔE_f (raw)   33.7 kcal/mol of atoms
Fermi-level density of states   1.17 states/eV per cell

Unit cell a=4.636 b=3.761 c=4.636 alpha=90.00 beta=90.00 gamma=90.00
Sites, in units of the cell vectors:
N1 0.000 0.000 0.000
B1 0.500 0.500 0.500
Ir1 0.000 0.500 0.000
Au1 0.500 0.000 0.000
Au2 0.000 0.000 0.500